RbHoCr2O8: relaxed, GGA+U.

Cell: 5.784 5.784 8.026 Å, 90.00 90.00 120.00°
Element x y z (fractional)
Rb 0.000 0.000 0.000
Ho 0.000 0.000 0.500
Cr 0.333 0.667 0.741
Cr 0.667 0.333 0.259
O 0.175 0.350 0.673
O 0.175 0.825 0.673
O 0.333 0.667 0.943
O 0.350 0.175 0.327
O 0.650 0.825 0.673
O 0.667 0.333 0.057
O 0.825 0.175 0.327
O 0.825 0.650 0.327

Properties
E in eV/atom: -6.93
Size of the total moment in μB/f.u.: 0.00
Theoretical density in g/cm3: 3.445